DFT (PBE-GGA) results for a geometry-optimized AcY12Er7 structure.

abc: 9.858 9.858 9.858
angles: 109.47 109.47 109.47
Element x y z (fractional)
Ac 0.000 0.000 0.000
Y 0.476 0.738 0.738
Y 0.001 0.738 0.262
Y 0.524 0.262 0.262
Y 0.999 0.262 0.738
Y 0.738 0.999 0.262
Y 0.738 0.476 0.738
Y 0.262 0.001 0.738
Y 0.262 0.524 0.262
Y 0.738 0.738 0.476
Y 0.262 0.262 0.524
Y 0.738 0.262 0.001
Y 0.262 0.738 0.999
Er 0.500 0.500 0.000
Er 0.000 0.500 0.500
Er 0.500 0.000 0.500
Er 0.500 0.500 0.500
Er 0.000 0.000 0.500
Er 0.500 0.000 0.000
Er 0.000 0.500 0.000

Values from the calculation:
The value obtained for the density of states at the Fermi level is 25.58 states/eV/cell. The value obtained for the energy relative to the lowest polymorph listed for this composition is 427 meV per atom. The calculation puts the energy of formation from the pure elements at 0.672 eV per atom. As for the space group: No. 229.



DFT (PBE-GGA) results for a geometry-optimized NaYP2O structure.

abc: 5.498 5.498 4.318
angles: 90.00 90.00 90.00
Element x y z (fractional)
Y 0.000 0.000 0.000
P 0.000 0.500 0.000
P 0.500 0.000 0.000
O 0.000 0.000 0.500
Na 0.500 0.500 0.500

Values from the calculation:
For the uncorrected formation energy, the calculation gives -378 meV per atom. The value obtained for the density of states at the Fermi level is 3.63 states/eV/cell. The value obtained for the energy relative to the lowest polymorph listed for this composition is 0 meV per atom. As for the space group: No. 123.



DFT (PBE-GGA) results for a geometry-optimized Zn2PdRhS structure.

abc: 4.727 4.480 4.727
angles: 90.00 90.00 90.00
Element x y z (fractional)
Zn 0.000 0.000 0.500
Zn 0.500 0.000 0.000
Rh 0.500 0.500 0.500
S 0.000 0.500 0.000
Pd 0.000 0.000 0.000

Values from the calculation:
For the uncorrected formation energy, the calculation gives 640 meV per atom. The value obtained for the density of states at the Fermi level is 4.18 states/eV/cell. As for the space group: No. 123.



DFT (PBE-GGA) results for a geometry-optimized La2Te structure.

abc: 6.513 6.513 6.513
angles: 60.00 60.00 60.00
Element x y z (fractional)
La 0.625 0.125 0.125
La 0.125 0.625 0.125
La 0.125 0.125 0.625
La 0.125 0.125 0.125
Te 0.500 0.500 0.500
Te 0.750 0.750 0.750

Values from the calculation:
For the uncorrected formation energy, the calculation gives -369 meV per atom. The value obtained for the density of states at the Fermi level is 6.06 states/eV/cell. As for the space group: No. 227.